Entry 1:
PmSbPb2O6 | Alexandria via LeMat-Bulk | PBE | optimized geometry; space-group type = P2_1/c; ρ = 8.4 g cm⁻³; final energy = -6.434 eV per atom; density of states at the Fermi level = 0.0 states/eV/cell; formation energy without anion corrections = -18.306 eV per formula unit
1.0
5.983 0.000 -0.015
0.000 6.013 0.000
0.032 0.000 8.492
Pm Sb Pb O
2 2 4 12
direct
0.500 0.000 0.000 Pm
0.000 0.500 0.500 Pm
0.500 0.000 0.500 Sb
0.000 0.500 0.000 Sb
0.005 0.971 0.246 Pb
0.505 0.529 0.746 Pb
0.995 0.029 0.754 Pb
0.495 0.471 0.254 Pb
0.271 0.692 0.044 O
0.771 0.808 0.544 O
0.729 0.308 0.956 O
0.229 0.192 0.456 O
0.317 0.722 0.461 O
0.817 0.778 0.961 O
0.683 0.278 0.539 O
0.183 0.222 0.039 O
0.917 0.517 0.231 O
0.417 0.983 0.731 O
0.083 0.483 0.769 O
0.583 0.017 0.269 O

=====

Entry 2:
Pm2ScPb2O2 | Alexandria via LeMat-Bulk | PBE | optimized geometry; space-group type = I4/mmm; ρ = 8.8 g cm⁻³; final energy = -6.456 eV per atom; density of states at the Fermi level = 5.0 states/eV/cell; formation energy without anion corrections = -12.026 eV per formula unit
1.0
4.202 0.000 0.000
0.000 4.202 0.000
-2.101 -2.101 8.325
Pm Sc Pb O
2 1 2 2
direct
0.399 0.399 0.797 Pm
0.601 0.601 0.203 Pm
0.000 0.000 0.000 Sc
0.200 0.200 0.399 Pb
0.800 0.800 0.601 Pb
0.000 0.500 0.000 O
0.500 0.000 0.000 O

=====

Entry 3:
PmScPbO2 | Alexandria via LeMat-Bulk | PBE | optimized geometry; space-group type = I4mm; ρ = 7.0 g cm⁻³; final energy = -7.360 eV per atom; density of states at the Fermi level = 1.8 states/eV/cell; formation energy without anion corrections = -12.091 eV per formula unit
1.0
3.791 0.000 0.000
0.000 3.791 0.000
-1.895 -1.895 7.044
Pm Sc Pb O
1 1 1 2
direct
0.833 0.833 0.666 Pm
0.178 0.178 0.356 Sc
0.508 0.508 0.016 Pb
0.741 0.241 0.482 O
0.241 0.741 0.482 O

=====

Entry 4:
Pm2Sc4Pb3O2 | Alexandria via LeMat-Bulk | PBE | optimized geometry; space-group type = I4/mmm; ρ = 7.5 g cm⁻³; final energy = -6.487 eV per atom; density of states at the Fermi level = 8.9 states/eV/cell; formation energy without anion corrections = -15.485 eV per formula unit
1.0
-2.425 1.097 -3.570
-3.723 -1.044 2.209
2.251 11.731 4.851
Pm Sc Pb O
2 4 3 2
direct
0.307 0.307 0.613 Pm
0.693 0.693 0.387 Pm
0.419 0.919 0.837 Sc
0.919 0.419 0.837 Sc
0.081 0.581 0.163 Sc
0.581 0.081 0.163 Sc
0.000 0.000 0.000 Pb
0.172 0.172 0.345 Pb
0.828 0.828 0.655 Pb
0.409 0.409 0.819 O
0.591 0.591 0.181 O